Entry 1:
Entry from the Alexandria database: a geometry-optimized Dy2Cd2Pd7 structure (PBE).

Computed properties:
For the calculated formation energy, the calculation gives -2.04 eV/f.u.

The structure in CIF format:
```
data_Dy2Cd2Pd7
_cell_length_a 8.856
_cell_length_b 9.666
_cell_length_c 5.624
_cell_angle_alpha 90.00
_cell_angle_beta 90.00
_cell_angle_gamma 90.00
_symmetry_space_group_name_H-M 'C m m m'
_symmetry_Int_Tables_number 65
_symmetry_space_group_name_Hall '-C 2 2'
loop_
_atom_site_label
_atom_site_type_symbol
_atom_site_fract_x
_atom_site_fract_y
_atom_site_fract_z
_atom_site_occupancy
Dy1 Dy 0.211 0.000 0.000 1
Cd1 Cd 0.000 0.270 0.500 1
Pd1 Pd 0.000 0.000 0.500 1
Pd2 Pd 0.000 0.500 0.237 1
Pd3 Pd 0.250 0.250 0.244 1
```

=====

Entry 2:
Entry from the Alexandria database: a geometry-optimized Na2ZrGaAg structure (PBE).

Computed properties:
For the calculated formation energy, the calculation gives 3.98 eV/f.u.

The structure in CIF format:
```
data_Na2ZrGaAg
_cell_length_a 5.137
_cell_length_b 5.137
_cell_length_c 4.848
_cell_angle_alpha 90.00
_cell_angle_beta 90.00
_cell_angle_gamma 90.00
_symmetry_space_group_name_H-M 'P 4/m m m'
_symmetry_Int_Tables_number 123
_symmetry_space_group_name_Hall '-P 4 2'
loop_
_atom_site_label
_atom_site_type_symbol
_atom_site_fract_x
_atom_site_fract_y
_atom_site_fract_z
_atom_site_occupancy
Na1 Na 0.000 0.500 0.000 1
Zr1 Zr 0.000 0.000 0.500 1
Ga1 Ga 0.500 0.500 0.000 1
Ag1 Ag 0.500 0.500 0.500 1
```

=====

Entry 3:
Entry from the Alexandria database: a geometry-optimized Sc2TiAuO structure (PBE).

Computed properties:
For the formation energy without anion corrections, the calculation gives -1.498 eV per atom.

The structure in CIF format:
```
data_Sc2TiAuO
_cell_length_a 4.369
_cell_length_b 4.369
_cell_length_c 4.160
_cell_angle_alpha 90.00
_cell_angle_beta 90.00
_cell_angle_gamma 90.00
_symmetry_space_group_name_H-M 'P 4/m m m'
_symmetry_Int_Tables_number 123
_symmetry_space_group_name_Hall '-P 4 2'
loop_
_atom_site_label
_atom_site_type_symbol
_atom_site_fract_x
_atom_site_fract_y
_atom_site_fract_z
_atom_site_occupancy
Sc1 Sc 0.000 0.500 0.000 1
Ti1 Ti 0.000 0.000 0.500 1
Au1 Au 0.500 0.500 0.500 1
O1 O 0.000 0.000 0.000 1
```

=====

The records above yield mass density values of 8.93 4.09 7.33 Mg/m³, respectively.
The records above yield spin magnetization values of 0.0 0.0 0.0 μB per formula unit, respectively.